# In2SiNiO6 PBE with a Hubbard U relaxed
data_In2SiNiO6
_chemical_formula_sum 'In6 Si3 Ni3 O18'
_cell_length_a 5.2262
_cell_length_b 5.2262
_cell_length_c 13.6317
_cell_angle_alpha 90.00
_cell_angle_beta 90.00
_cell_angle_gamma 120.00
_symmetry_space_group_name_H-M 'R 3'
_symmetry_Int_Tables_number 146
_symmetry_space_group_name_Hall 'R 3'
loop_
_atom_site_label
_atom_site_fract_x
_atom_site_fract_y
_atom_site_fract_z
In1 0.0000 0.0000 0.0000
In2 0.0000 0.0000 0.4946
Si1 0.0000 0.0000 0.7842
Ni1 0.0000 0.0000 0.2757
O1 0.0341 0.7410 0.8704
O2 0.0659 0.3519 0.3814
# Calculated total energy   -181.55 eV for the cell shown